SrScAgF6: optimized geometry, PBE-GGA.

Cell and atoms, written as extended XYZ:
```
18
Lattice="5.880 0.000 0.000 -2.940 5.092 0.000 0.000 0.000 10.242" Properties=species:S:1:pos:R:3 pbc="T T T"
F 2.193 3.203 1.394
F -0.747 1.889 6.515
F 0.931 4.795 8.848
F -1.677 3.501 8.848
F 1.677 3.501 6.515
F 2.009 0.298 1.394
F 0.747 1.889 8.848
F -0.931 4.795 6.515
F 3.871 0.298 3.727
F 4.618 1.591 1.394
F 3.687 3.203 3.727
F 1.263 1.591 3.727
Ag 2.940 1.697 7.682
Ag 0.000 3.395 2.561
Sc 2.940 1.697 2.561
Sc 0.000 3.395 7.682
Sr 0.000 0.000 5.121
Sr 0.000 0.000 0.000
```

- Raw formation energy: -3.28 eV/atom
- Total magnetization: 0.015 μB per atom
- ρ: 3.84 g/cm³